[1]
Ac13Pr3: optimized geometry, PBE-GGA.

Cell lengths 11.2216, 7.8731, 7.8731 Å; angles 89.81, 90.00, 90.00 degrees
Last column: nearest neighbours and their distance in Å.
Element x y z (fractional)
Ac 0.0000 0.0000 0.0000  10 Ac 3.89-3.99, 2 Pr 3.93
Ac 0.0000 0.9997 0.4938  10 Ac 3.89-3.99, 2 Pr 3.95
Ac 0.0000 0.4938 0.9997  10 Ac 3.89-3.99, 2 Pr 3.95
Ac 0.0000 0.4936 0.4936  10 Ac 3.89-4.01, 2 Pr 3.97
Ac 0.2524 0.7477 0.7477  11 Ac 3.91-4.01, 1 Pr 3.95
Ac 0.2525 0.2445 0.7488  3 Pr 3.90-3.97, 9 Ac 3.91-3.99
Ac 0.2525 0.7488 0.2445  3 Pr 3.90-3.97, 9 Ac 3.91-3.99
Ac 0.5000 0.9998 0.4911  4 Pr 3.87-4.00, 8 Ac 3.89-3.99
Ac 0.5000 0.4911 0.9998  4 Pr 3.87-4.00, 8 Ac 3.89-3.99
Ac 0.5000 0.4935 0.4935  10 Ac 3.89-3.99, 2 Pr 3.93
Ac 0.7475 0.2445 0.7488  3 Pr 3.90-3.97, 9 Ac 3.91-3.99
Ac 0.7475 0.7488 0.2445  3 Pr 3.90-3.97, 9 Ac 3.91-3.99
Ac 0.7476 0.7477 0.7477  11 Ac 3.91-4.01, 1 Pr 3.95
Pr 0.2526 0.2446 0.2446  11 Ac 3.89-3.97, 1 Pr 3.90
Pr 0.5000 0.9992 0.9992  10 Ac 3.87-4.00, 2 Pr 3.90
Pr 0.7474 0.2446 0.2446  11 Ac 3.89-3.97, 1 Pr 3.90

Output
- DOS at the Fermi energy: 31.50 states/eV per cell
- Uncorrected energy: -67.398 eV per cell
- Calculated formation energy: 0.022 eV per atom

---

[2]
Ba2AsO: optimized geometry, PBE-GGA.

Cell lengths 7.0156, 7.0156, 7.0156 Å; angles 114.32, 114.32, 100.15 degrees
Last column: nearest neighbours and their distance in Å.
Element x y z (fractional)
Ba 0.0461 0.6250 0.9211  2 O 2.57
Ba 0.3750 0.2961 0.4211  2 O 2.57
Ba 0.7039 0.1250 0.0789  2 O 2.57
Ba 0.8750 0.9539 0.5789  2 O 2.57
As 0.2500 0.7500 0.5000  4 Ba 3.34
As 0.5000 0.5000 0.0000  4 Ba 3.34
O 0.0000 0.0000 0.0000  4 Ba 2.57
O 0.7500 0.2500 0.5000  4 Ba 2.57

Output
- DOS at the Fermi energy: 0.36 states/eV per cell
- Uncorrected energy: -39.185 eV per cell
- ΔE_f (raw): -1.53 eV/atom

---

[3]
HfTi6H8: optimized geometry, PBE-GGA.

Cell lengths 5.2557, 5.2557, 5.2557 Å; angles 99.81, 99.81, 99.81 degrees
Last column: nearest neighbours and their distance in Å.
Element x y z (fractional)
Hf 0.0000 0.0000 0.0000  8 H 2.01-2.21
Ti 0.1349 0.5823 0.3018  4 H 1.89-2.09
Ti 0.3018 0.1349 0.5823  4 H 1.89-2.09
Ti 0.4177 0.6982 0.8651  4 H 1.89-2.09
Ti 0.5823 0.3018 0.1349  4 H 1.89-2.09
Ti 0.6982 0.8651 0.4177  4 H 1.89-2.09
Ti 0.8651 0.4177 0.6982  4 H 1.89-2.09
H 0.1056 0.7798 0.6498  4 Ti 1.98-2.18, 1 H 2.08, 1 Hf 2.21
H 0.2202 0.3502 0.8944  4 Ti 1.98-2.18, 1 H 2.08, 1 Hf 2.21
H 0.2720 0.2720 0.2720  3 Ti 1.89, 1 Hf 2.01, 3 H 2.08
H 0.3502 0.8944 0.2202  4 Ti 1.98-2.18, 1 H 2.08, 1 Hf 2.21
H 0.6498 0.1056 0.7798  4 Ti 1.98-2.18, 1 H 2.08, 1 Hf 2.21
H 0.7280 0.7280 0.7280  3 Ti 1.89, 1 Hf 2.01, 3 H 2.08
H 0.7798 0.6498 0.1056  4 Ti 1.98-2.18, 1 H 2.08, 1 Hf 2.21
H 0.8944 0.2202 0.3502  4 Ti 1.98-2.18, 1 H 2.08, 1 Hf 2.21

Output
- DOS at the Fermi energy: 11.42 states/eV per cell
- Uncorrected energy: -88.935 eV per cell

---

[4]
UVH: optimized geometry, PBE-GGA.

Cell lengths 5.3986, 5.3986, 5.3986 Å; angles 151.27, 151.27, 41.09 degrees
Last column: nearest neighbours and their distance in Å.
Element x y z (fractional)
U 0.0000 0.0000 0.0000  1 H 2.25
V 0.2497 0.2497 0.0000  4 H 1.92
H 0.7775 0.7775 0.0000  4 V 1.92

Output
- DOS at the Fermi energy: 4.21 states/eV per cell
- Uncorrected energy: -23.152 eV per cell

---

[5]
Au2CN: optimized geometry, PBE-GGA.

Cell lengths 4.1292, 4.1292, 4.1292 Å; angles 60.00, 60.00, 60.00 degrees
Last column: nearest neighbours and their distance in Å.
Element x y z (fractional)
Au 0.2500 0.2500 0.2500  4 N 2.53, 4 C 2.53
Au 0.7500 0.7500 0.7500  4 N 2.53, 4 C 2.53
C 0.0000 0.0000 0.0000  8 Au 2.53
N 0.5000 0.5000 0.5000  8 Au 2.53

Output
- DOS at the Fermi energy: 2.10 states/eV per cell
- Uncorrected energy: -15.454 eV per cell
- ΔE_f (raw): 2.16 eV/atom

---

[6]
Sr2ScCr: optimized geometry, PBE-GGA.

Cell lengths 6.6352, 6.6352, 6.6352 Å; angles 143.65, 129.93, 63.43 degrees
Last column: nearest neighbours and their distance in Å.
Element x y z (fractional)
Sr 0.2227 0.2227 0.0000  2 Cr 3.26, 4 Sr 3.54
Sr 0.7773 0.7773 0.0000  2 Cr 3.26, 4 Sr 3.54
Sc 0.5000 0.0000 0.5000  4 Cr 3.49, 8 Sr 3.75-3.77
Cr 0.0000 0.5000 0.5000  4 Sr 3.26, 4 Sc 3.49

Output
- DOS at the Fermi energy: 4.83 states/eV per cell
- Uncorrected energy: -16.765 eV per cell
- Calculated formation energy: 0.638 eV per atom

---

[7]
La2Ge3Pt5: optimized geometry, PBE-GGA.

Cell lengths 4.2230, 4.2230, 11.3628 Å; angles 90.00, 90.00, 90.00 degrees
Last column: nearest neighbours and their distance in Å.
Element x y z (fractional)
La 0.0000 0.5000 0.2207  8 Pt 3.07-3.28, 4 Ge 3.43
La 0.5000 0.0000 0.7793  8 Pt 3.07-3.28, 4 Ge 3.43
Ge 0.0000 0.5000 0.6314  3 Pt 2.40-2.59, 2 Ge 2.59
Ge 0.5000 0.0000 0.3686  3 Pt 2.40-2.59, 2 Ge 2.59
Ge 0.5000 0.5000 0.5000  4 Ge 2.59
Pt 0.0000 0.0000 0.0000  8 Pt 2.77-2.99
Pt 0.0000 0.0000 0.5000  4 Ge 2.59
Pt 0.0000 0.5000 0.8423  1 Ge 2.40
Pt 0.5000 0.0000 0.1577  1 Ge 2.40
Pt 0.5000 0.5000 0.0000  8 Pt 2.77-2.99

Output
- DOS at the Fermi energy: 3.79 states/eV per cell
- Uncorrected energy: -61.718 eV per cell
- Calculated formation energy: -0.781 eV per atom

---

[8]
NaPIrCl2: optimized geometry, PBE-GGA.

Cell lengths 4.6459, 4.6459, 5.4999 Å; angles 90.00, 90.00, 90.00 degrees
Last column: nearest neighbours and their distance in Å.
Element x y z (fractional)
Na 0.0000 0.0000 0.0000  4 Cl 2.32
P 0.0000 0.0000 0.5000  2 Na 2.75
Ir 0.5000 0.5000 0.5000  4 P 3.29, 8 Cl 3.60
Cl 0.0000 0.5000 0.0000  2 Na 2.32
Cl 0.5000 0.0000 0.0000  2 Na 2.32

Output
- DOS at the Fermi energy: 7.05 states/eV per cell
- Uncorrected energy: -13.397 eV per cell
- ΔE_f (raw): 1.18 eV/atom

---

[9]
PtS8Br2: optimized geometry, PBE-GGA.

Cell lengths 3.8021, 7.8574, 9.6128 Å; angles 84.79, 82.16, 89.31 degrees
Last column: nearest neighbours and their distance in Å.
Element x y z (fractional)
Pt 0.0000 0.0000 0.0000  6 S 2.44-2.48
S 0.0463 0.9195 0.7591  1 S 1.95
S 0.3031 0.9565 0.3416  1 S 1.95
S 0.4016 0.3869 0.0761  2 S 2.03-2.26
S 0.4890 0.8031 0.0527  1 S 2.03
S 0.5110 0.1969 0.9473  1 S 2.03
S 0.5984 0.6131 0.9239  2 S 2.03-2.26
S 0.6969 0.0435 0.6584  1 S 1.95
S 0.9537 0.0805 0.2409  1 S 1.95
Br 0.4718 0.5436 0.6160  1 Br 2.37
Br 0.5282 0.4564 0.3840  1 Br 2.37

Output
- DOS at the Fermi energy: 3.91 states/eV per cell
- Uncorrected energy: -41.454 eV per cell
- ΔE_f (raw): 0.09 eV/atom

---

[10]
LiNi2W: optimized geometry, PBE-GGA.

Cell lengths 2.5968, 2.5968, 7.7699 Å; angles 90.00, 90.00, 90.00 degrees
Last column: nearest neighbours and their distance in Å.
Element x y z (fractional)
Li 0.0000 0.0000 0.0000  4 Ni 2.59, 4 Li 2.60
Ni 0.0000 0.0000 0.4493  8 Ni 2.48-2.60, 4 W 2.64
Ni 0.5000 0.5000 0.2347  8 Ni 2.48-2.60, 4 Li 2.59
W 0.5000 0.5000 0.6939  4 W 2.60, 4 Ni 2.64

Output
- DOS at the Fermi energy: 6.92 states/eV per cell
- Uncorrected energy: -25.497 eV per cell
- Calculated formation energy: 0.233 eV per atom

---

[11]
BeAg2Te: optimized geometry, PBE-GGA.

Cell lengths 3.6033, 3.6580, 6.2321 Å; angles 90.00, 105.46, 90.00 degrees
Last column: nearest neighbours and their distance in Å.
Element x y z (fractional)
Be 0.0000 0.0000 0.0000  1 Ag 2.36, 2 Te 2.41
Ag 0.4367 0.5000 0.8477  4 Be 2.71-2.74, 4 Ag 2.94-2.95
Ag 0.8239 0.0000 0.6074  1 Be 2.36
Te 0.1313 0.5000 0.2611  2 Be 2.41

Output
- DOS at the Fermi energy: 0.78 states/eV per cell
- Uncorrected energy: -11.847 eV per cell
- ΔE_f (raw): 0.18 eV/atom

---

[12]
LiW2: optimized geometry, PBE-GGA.

Cell lengths 9.7337, 9.7337, 9.7337 Å; angles 161.16, 161.16, 26.77 degrees
Last column: nearest neighbours and their distance in Å.
Element x y z (fractional)
Li 0.3750 0.6250 0.7500  8 W 2.67
Li 0.6250 0.3750 0.2500  8 W 2.67
W 0.0494 0.7994 0.2500  2 W 2.46, 4 Li 2.67
W 0.2006 0.9506 0.2500  2 W 2.46, 4 Li 2.67
W 0.7994 0.0494 0.7500  2 W 2.46, 4 Li 2.67
W 0.9506 0.2006 0.7500  2 W 2.46, 4 Li 2.67

Output
- DOS at the Fermi energy: 4.49 states/eV per cell
- Uncorrected energy: -48.791 eV per cell
- Calculated formation energy: 1.141 eV per atom

---

[13]
PmDyIrPt: optimized geometry, PBE-GGA.

Cell lengths 4.9602, 4.9602, 4.9602 Å; angles 60.00, 60.00, 60.00 degrees
Last column: nearest neighbours and their distance in Å.
Element x y z (fractional)
Pm 0.0000 0.0000 0.0000  4 Ir 3.04, 4 Pt 3.04
Dy 0.5000 0.5000 0.5000  4 Ir 3.04, 4 Pt 3.04
Ir 0.2500 0.2500 0.2500  4 Dy 3.04, 4 Pm 3.04
Pt 0.7500 0.7500 0.7500  4 Dy 3.04, 4 Pm 3.04

Output
- DOS at the Fermi energy: 1.95 states/eV per cell
- Uncorrected energy: -27.971 eV per cell
- Calculated formation energy: -0.929 eV per atom

---

[14]
AgSnTe2N: optimized geometry, PBE-GGA.

Cell lengths 5.9702, 5.9702, 3.8497 Å; angles 90.00, 90.00, 90.00 degrees
Last column: nearest neighbours and their distance in Å.
Element x y z (fractional)
Ag 0.0000 0.0000 0.0000  8 Te 3.55, 2 Ag 3.85
Sn 0.5000 0.5000 0.5000  2 N 1.92
Te 0.0000 0.5000 0.5000  2 Sn 2.99
Te 0.5000 0.0000 0.5000  2 Sn 2.99
N 0.5000 0.5000 0.0000  2 Sn 1.92

Output
- DOS at the Fermi energy: 6.29 states/eV per cell
- Uncorrected energy: -17.238 eV per cell
- ΔE_f (raw): 0.84 eV/atom

---

[15]
Tb6PrHo4: optimized geometry, PBE-GGA.

Cell lengths 5.6030, 5.6030, 25.6803 Å; angles 90.00, 90.00, 118.31 degrees
Last column: nearest neighbours and their distance in Å.
Element x y z (fractional)
Tb 0.0000 0.0000 0.0000  8 Ho 3.14-3.51
Tb 0.0000 0.0000 0.5000  8 Ho 3.14-3.51
Tb 0.0323 0.9677 0.7500  3 Pr 3.23-3.28, 2 Ho 3.30
Tb 0.3033 0.6967 0.1012  5 Ho 3.30-3.55
Tb 0.3033 0.6967 0.3988  5 Ho 3.30-3.55
Tb 0.3667 0.6333 0.6804  4 Ho 3.51-3.64, 7 Tb 3.58-3.88, 3 Pr 3.65-3.76
Tb 0.3667 0.6333 0.8196  4 Ho 3.51-3.64, 7 Tb 3.58-3.88, 3 Pr 3.65-3.76
Tb 0.6333 0.3667 0.1804  4 Ho 3.51-3.64, 7 Tb 3.58-3.88, 3 Pr 3.65-3.76
Tb 0.6333 0.3667 0.3196  4 Ho 3.51-3.64, 7 Tb 3.58-3.88, 3 Pr 3.65-3.76
Tb 0.6967 0.3033 0.6012  5 Ho 3.30-3.55
Tb 0.6967 0.3033 0.8988  5 Ho 3.30-3.55
Tb 0.9677 0.0323 0.2500  3 Pr 3.23-3.28, 2 Ho 3.30
Pr 0.3031 0.6969 0.2500  3 Tb 3.23-3.28
Pr 0.6969 0.3031 0.7500  3 Tb 3.23-3.28
Ho 0.0378 0.9622 0.6214  6 Tb 3.14-3.51
Ho 0.0378 0.9622 0.8786  6 Tb 3.14-3.51
Ho 0.3464 0.6536 0.5424  8 Tb 3.41-3.71, 2 Ho 3.60-3.67
Ho 0.3464 0.6536 0.9576  8 Tb 3.41-3.71, 2 Ho 3.60-3.67
Ho 0.6536 0.3464 0.0424  8 Tb 3.41-3.71, 2 Ho 3.60-3.67
Ho 0.6536 0.3464 0.4576  8 Tb 3.41-3.71, 2 Ho 3.60-3.67
Ho 0.9622 0.0378 0.1214  6 Tb 3.14-3.51
Ho 0.9622 0.0378 0.3786  6 Tb 3.14-3.51

Output
- DOS at the Fermi energy: 41.07 states/eV per cell
- Uncorrected energy: -99.010 eV per cell
- Calculated formation energy: 0.124 eV per atom

---

[16]
K2NdTmSe4: optimized geometry, PBE-GGA.

Cell lengths 7.3780, 4.2584, 8.0767 Å; angles 90.00, 107.71, 90.00 degrees
Last column: nearest neighbours and their distance in Å.
Element x y z (fractional)
K 0.0000 0.0000 0.0000  6 Se 3.38
K 0.5000 0.5000 0.0000  6 Se 3.30
Nd 0.0000 0.5000 0.5000  6 Se 2.97-2.98
Tm 0.5000 0.0000 0.5000  6 Se 2.88-2.89
Se 0.2464 0.0000 0.7089  1 Tm 2.88, 2 Nd 2.97
Se 0.2748 0.5000 0.2956  2 Tm 2.89, 1 Nd 2.98
Se 0.7252 0.5000 0.7044  2 Tm 2.89, 1 Nd 2.98
Se 0.7536 0.0000 0.2911  1 Tm 2.88, 2 Nd 2.97

Output
- DOS at the Fermi energy: 0.00 states/eV per cell
- Uncorrected energy: -39.339 eV per cell
- ΔE_f (raw): -1.75 eV/atom

---

[17]
BaI2OF: optimized geometry, PBE-GGA.

Cell lengths 7.1244, 7.1244, 4.5188 Å; angles 90.00, 90.00, 90.00 degrees
Last column: nearest neighbours and their distance in Å.
Element x y z (fractional)
Ba 0.0000 0.0000 0.0000  2 O 2.26
I 0.0000 0.5000 0.0000  2 Ba 3.56
I 0.5000 0.0000 0.0000  2 Ba 3.56
O 0.0000 0.0000 0.5000  2 Ba 2.26
F 0.5000 0.5000 0.5000  8 I 4.22, 2 F 4.52

Output
- DOS at the Fermi energy: 16.77 states/eV per cell
- Uncorrected energy: -14.245 eV per cell
- ΔE_f (raw): -0.48 eV/atom

---

[18]
BPt3Pb: optimized geometry, PBE-GGA.

Cell lengths 6.3787, 6.3787, 6.3787 Å; angles 127.01, 124.38, 80.41 degrees
Last column: nearest neighbours and their distance in Å.
Element x y z (fractional)
B 0.1632 0.1632 0.0000  6 Pt 2.19-2.23
B 0.8368 0.8368 0.0000  6 Pt 2.19-2.23
Pt 0.0000 0.0000 0.5000  2 B 2.23
Pt 0.0000 0.5000 0.0000  2 B 2.23
Pt 0.2534 0.0000 0.2534  2 B 2.19
Pt 0.5000 0.0000 0.0000  2 B 2.23
Pt 0.5000 0.5000 0.5000  2 B 2.23
Pt 0.7466 0.0000 0.7466  2 B 2.19
Pb 0.0000 0.5000 0.5000  2 Pb 2.98, 12 Pt 3.19-3.22, 4 B 3.26
Pb 0.5000 0.5000 0.0000  2 Pb 2.98, 12 Pt 3.19-3.20, 2 B 3.28

Output
- DOS at the Fermi energy: 4.45 states/eV per cell
- Uncorrected energy: -58.388 eV per cell
- Calculated formation energy: -0.137 eV per atom

---

[19]
Be2I2N: optimized geometry, PBE-GGA.

Cell lengths 7.4070, 7.4070, 7.4070 Å; angles 152.12, 152.12, 39.84 degrees
Last column: nearest neighbours and their distance in Å.
Element x y z (fractional)
Be 0.2500 0.7500 0.5000  4 I 2.52, 4 Be 2.52
Be 0.7500 0.2500 0.5000  4 I 2.52, 4 Be 2.52
I 0.1224 0.1224 0.0000  4 Be 2.52
I 0.8776 0.8776 0.0000  4 Be 2.52
N 0.5000 0.5000 0.0000  8 I 3.05

Output
- DOS at the Fermi energy: 1.37 states/eV per cell
- Uncorrected energy: -12.262 eV per cell
- ΔE_f (raw): 1.32 eV/atom

---

[20]
RbIr3S: optimized geometry, PBE-GGA.

Cell lengths 4.9364, 4.9364, 4.9364 Å; angles 90.00, 90.00, 90.00 degrees
Last column: nearest neighbours and their distance in Å.
Element x y z (fractional)
Rb 0.0000 0.0000 0.0000  6 Ir 2.47
Ir 0.0000 0.0000 0.5000  2 Rb 2.47
Ir 0.0000 0.5000 0.0000  2 Rb 2.47
Ir 0.5000 0.0000 0.0000  2 Rb 2.47
S 0.5000 0.5000 0.5000  12 Ir 3.49

Output
- DOS at the Fermi energy: 10.98 states/eV per cell
- Uncorrected energy: -13.671 eV per cell
- ΔE_f (raw): 3.60 eV/atom